(1)
Material: FeBiO3
Method: DFT, PBEsol
State: relaxed

The magnetic moment is 0.94 μB per atom. The formation energy without anion corrections comes out at -1.18 eV/atom. The electronic total energy comes out at -6.977 eV per atom. As for the calculated volume: 65.15 Å³/cell.

abc: 3.6927 3.6927 4.7779
angles: 90.00 90.00 90.00
Element x y z (fractional)
Fe: 0.0000 0.0000 0.0000
Bi: 0.5000 0.5000 0.4365
O: 0.0000 0.0000 0.6198
O: 0.0000 0.5000 0.1495
O: 0.5000 0.0000 0.1495



(2)
Material: FeBiO3
Method: DFT, PBEsol
State: relaxed

The magnetic moment is 0.63 μB per atom. The formation energy without anion corrections comes out at -1.21 eV/atom. The electronic total energy comes out at -7.008 eV per atom. As for the calculated volume: 113.89 Å³/cell.

abc: 5.4370 5.4370 5.4370
angles: 60.09 60.09 60.09
Element x y z (fractional)
Fe: 0.0000 0.0000 0.0000
Fe: 0.5000 0.5000 0.5000
Bi: 0.2266 0.2266 0.2266
Bi: 0.7266 0.7266 0.7266
O: 0.1917 0.7699 0.3132
O: 0.2699 0.6917 0.8132
O: 0.3132 0.1917 0.7699
O: 0.6917 0.8132 0.2699
O: 0.7699 0.3132 0.1917
O: 0.8132 0.2699 0.6917



(3)
Material: FeBiO3
Method: DFT, PBEsol
State: relaxed

The magnetic moment is 0.66 μB per atom. The formation energy without anion corrections comes out at -1.21 eV/atom. The electronic total energy comes out at -7.013 eV per atom. As for the calculated volume: 225.59 Å³/cell.

abc: 5.5208 7.6311 5.3546
angles: 90.00 90.00 90.00
Element x y z (fractional)
Fe: 0.0000 0.0000 0.0000
Fe: 0.0000 0.5000 0.0000
Fe: 0.5000 0.0000 0.5000
Fe: 0.5000 0.5000 0.5000
Bi: 0.0552 0.2500 0.4899
Bi: 0.4448 0.7500 0.9899
Bi: 0.5552 0.2500 0.0101
Bi: 0.9448 0.7500 0.5101
O: 0.0176 0.7500 0.0783
O: 0.2073 0.5391 0.7063
O: 0.2073 0.9609 0.7063
O: 0.2927 0.0391 0.2063
O: 0.2927 0.4609 0.2063
O: 0.4824 0.2500 0.5783
O: 0.5176 0.7500 0.4217
O: 0.7073 0.5391 0.7937
O: 0.7073 0.9609 0.7937
O: 0.7927 0.0391 0.2937
O: 0.7927 0.4609 0.2937
O: 0.9824 0.2500 0.9217



(4)
Material: FeBiO3
Method: DFT, PBEsol
State: relaxed

The magnetic moment is 0.74 μB per atom. The formation energy without anion corrections comes out at -0.04 eV/atom. The electronic total energy comes out at -5.834 eV per atom. As for the calculated volume: 74.58 Å³/cell.

abc: 4.2093 4.2093 4.2093
angles: 90.00 90.00 90.00
Element x y z (fractional)
Fe: 0.0000 0.0000 0.0000
Bi: 0.5000 0.5000 0.5000
O: 0.0000 0.5000 0.5000
O: 0.5000 0.0000 0.5000
O: 0.5000 0.5000 0.0000